Here is crystalline CeCoCuH6 at its relaxed geometry from Alexandria via LeMat-Bulk. Energies are from PBE.

Values from the calculation:
- SG: P-6m2
- VASP energy: -39.958 eV for the cell shown

Cell lengths 4.4375, 4.4375, 4.2726 Å; angles 90.00, 90.00, 60.00 degrees
Each line ends with the local moment (μB).
Atoms (fractional coordinates):
H (0.4891, 0.4893, 0.7508)  0.00
H (0.0216, 0.4893, 0.2491)  0.00
H (0.4891, 0.0216, 0.2491)  0.00
H (0.4892, 0.0216, 0.7508)  0.00
H (0.4892, 0.4891, 0.2491)  0.00
H (0.0216, 0.4891, 0.7508)  0.00
Co (0.3333, 0.3333, 0.5000)  -0.01
Cu (0.6666, 0.6667, 0.5000)  0.00
Ce (0.0000, 0.0000, 0.0000)  0.72